! YBeCoGe, optimized geometry, DFT GGA-PBE; values from VASP
&SYSTEM
  ibrav = 0, nat = 4, ntyp = 4
/
ATOMIC_SPECIES
Co 58.93 Co.upf
Be 9.01 Be.upf
Ge 72.64 Ge.upf
Y 88.91 Y.upf
ATOMIC_POSITIONS crystal
Co 0.750 0.750 0.750
Be 0.500 0.500 0.500
Ge 0.000 0.000 0.000
Y 0.250 0.250 0.250
CELL_PARAMETERS angstrom
4.120 -1.546 0.355
2.587 1.352 3.312
1.040 -2.783 3.266
! Offset from the most stable computed form   27.5 meV per atom
! Spin magnetization   0.0205 μB per atom
! ρ   6262 kg/m³
! Space-group type   No. 216